Entry 1:
Co2MoHOs, optimized geometry, DFT PBE; SG = P4/mmm, No. 123; offset from the most stable computed form = 0 meV/atom
1.0
3.723 0.000 0.000
0.000 3.723 0.000
0.000 0.000 3.825
Co Mo H Os
2 1 1 1
direct
0.000 0.500 0.000
0.500 0.000 0.000
0.000 0.000 0.500
0.500 0.500 0.000
0.500 0.500 0.500

***

Entry 2:
Co2MoHOs, optimized geometry, DFT PBE; SG = P4/mmm, No. 123; offset from the most stable computed form = 4 meV/atom
1.0
3.686 0.000 0.000
0.000 3.686 0.000
0.000 0.000 3.898
Co Mo H Os
2 1 1 1
direct
0.000 0.500 0.000
0.500 0.000 0.000
0.000 0.000 0.500
0.000 0.000 0.000
0.500 0.500 0.500

***

Entry 3:
CoMoHOs2, optimized geometry, DFT PBE; SG = P4/mmm, No. 123
1.0
3.898 0.000 0.000
0.000 3.898 0.000
0.000 0.000 3.753
Co Mo H Os
1 1 1 2
direct
0.000 0.000 0.000
0.500 0.500 0.000
0.000 0.000 0.500
0.000 0.500 0.500
0.500 0.000 0.500

***

Entry 4:
CoMoHPb2, optimized geometry, DFT PBE; SG = P4/mmm, No. 123
1.0
5.472 0.000 0.000
0.000 5.472 0.000
0.000 0.000 3.488
Co Mo H Pb
1 1 1 2
direct
0.000 0.000 0.000
0.500 0.500 0.500
0.500 0.500 0.000
0.000 0.500 0.500
0.500 0.000 0.500

***

Entry 5:
Co2MoHPt, optimized geometry, DFT PBE; SG = P4/mmm, No. 123; offset from the most stable computed form = 0 meV/atom
1.0
3.794 0.000 0.000
0.000 3.794 0.000
0.000 0.000 3.800
Co Mo H Pt
2 1 1 1
direct
0.000 0.500 0.000
0.500 0.000 0.000
0.000 0.000 0.500
0.000 0.000 0.000
0.500 0.500 0.500

***

Entry 6:
Co2MoHPt, optimized geometry, DFT PBE; SG = P4/mmm, No. 123; offset from the most stable computed form = 84 meV/atom
1.0
3.835 0.000 0.000
0.000 3.835 0.000
0.000 0.000 3.708
Co Mo H Pt
2 1 1 1
direct
0.000 0.500 0.000
0.500 0.000 0.000
0.000 0.000 0.500
0.500 0.500 0.000
0.500 0.500 0.500

***

Record-wise total DFT energy (no corrections) values, in Ha/atom: -0.2891; -0.2889; -0.3182; -0.1753; -0.2531; -0.2500
Record-wise DOS at the Fermi energy values, in states/eV/cell: 2.85; 4.25; 2.13; 3.40; 4.57; 5.80